Record 1
# Th2Co5B2

A relaxed structure of Th2Co5B2 (PBE, the Alexandria database).

```
data_Th2Co5B2
_chemical_formula_sum 'Th2 Co5 B2'
_cell_length_a 3.8902
_cell_length_b 3.8902
_cell_length_c 8.2576
_cell_angle_alpha 90.00
_cell_angle_beta 90.00
_cell_angle_gamma 90.00
_symmetry_space_group_name_H-M 'P 4/m m m'
_symmetry_Int_Tables_number 123
_symmetry_space_group_name_Hall '-P 4 2'
loop_
_atom_site_label
_atom_site_fract_x
_atom_site_fract_y
_atom_site_fract_z
Th1 0.0000 0.0000 0.0000
Th2 0.0000 0.0000 0.5000
Co1 0.0000 0.5000 0.2418
Co2 0.5000 0.5000 0.0000
B1 0.5000 0.5000 0.2853
```

As for the total moment: 0.0 Bohr magnetons per cell. The formation energy from the elements is -3.18 eV/f.u. The raw total energy is -66.90 eV/cell. The calculation puts the volume at 125 Å³/cell.

=====

Record 2
# RbNaMoN3

A relaxed structure of RbNaMoN3 (PBE, the Alexandria database).

```
data_RbNaMoN3
_chemical_formula_sum 'Rb4 Na4 Mo4 N12'
_cell_length_a 6.2308
_cell_length_b 11.6237
_cell_length_c 5.6123
_cell_angle_alpha 90.00
_cell_angle_beta 90.00
_cell_angle_gamma 90.00
_symmetry_space_group_name_H-M 'C m c m'
_symmetry_Int_Tables_number 63
_symmetry_space_group_name_Hall '-C 2c 2'
loop_
_atom_site_label
_atom_site_fract_x
_atom_site_fract_y
_atom_site_fract_z
Rb1 0.0000 0.2287 0.2500
Na1 0.0000 0.0757 0.7500
Mo1 0.0000 0.4465 0.7500
N1 0.0000 0.2932 0.7500
N2 0.2134 0.5000 0.0000
```

As for the total moment: 4.0 Bohr magnetons per cell. The calculation puts the raw formation energy at -0.12 eV/atom. The raw total energy is -155.28 eV/cell. The calculation puts the volume at 406 Å³/cell.

=====

Record 3
# CrTc3As

A relaxed structure of CrTc3As (PBE, the Alexandria database).

```
data_CrTc3As
_chemical_formula_sum 'Cr1 Tc3 As1'
_cell_length_a 4.4455
_cell_length_b 4.4455
_cell_length_c 4.4455
_cell_angle_alpha 90.00
_cell_angle_beta 90.00
_cell_angle_gamma 90.00
_symmetry_space_group_name_H-M 'P m -3 m'
_symmetry_Int_Tables_number 221
_symmetry_space_group_name_Hall '-P 4 2 3'
loop_
_atom_site_label
_atom_site_fract_x
_atom_site_fract_y
_atom_site_fract_z
Cr1 0.0000 0.0000 0.0000
Tc1 0.0000 0.0000 0.5000
As1 0.5000 0.5000 0.5000
```

As for the total moment: 0.9 Bohr magnetons per cell. The formation energy from the elements is 6.37 eV/f.u. The raw total energy is -39.00 eV/cell. The calculation puts the volume at 88 Å³/cell.

=====

Record 4
# CaNiSn3

A relaxed structure of CaNiSn3 (PBE, the Alexandria database).

```
data_CaNiSn3
_chemical_formula_sum 'Ca4 Ni4 Sn12'
_cell_length_a 6.0781
_cell_length_b 8.9898
_cell_length_c 8.8973
_cell_angle_alpha 90.00
_cell_angle_beta 90.00
_cell_angle_gamma 90.00
_symmetry_space_group_name_H-M 'P n m a'
_symmetry_Int_Tables_number 62
loop_
_symmetry_equiv_pos_as_xyz
'x,y,z'
'-x,-y,-z'
'-x+1/2,-y,z+1/2'
'x+1/2,y,-z+1/2'
'x+1/2,-y+1/2,-z+1/2'
'-x+1/2,y+1/2,z+1/2'
'-x,y+1/2,-z'
'x,-y+1/2,z'
loop_
_atom_site_label
_atom_site_fract_x
_atom_site_fract_y
_atom_site_fract_z
Ca1 0.0026 0.2500 0.0182
Ni1 0.0000 0.0000 0.5000
Sn1 0.0022 0.2500 0.3726
Sn2 0.2502 0.0677 0.7494
```

As for the total moment: 0.0 Bohr magnetons per cell. The formation energy from the elements is -1.22 eV/f.u. The raw total energy is -84.05 eV/cell. The calculation puts the volume at 486 Å³/cell.

=====

Record 5
# Pu2Si3Pd5

A relaxed structure of Pu2Si3Pd5 (PBE, the Alexandria database).

```
data_Pu2Si3Pd5
_chemical_formula_sum 'Pu8 Si12 Pd20'
_cell_length_a 4.2184
_cell_length_b 24.8876
_cell_length_c 6.5849
_cell_angle_alpha 90.00
_cell_angle_beta 90.00
_cell_angle_gamma 90.00
_symmetry_space_group_name_H-M 'C m c 21'
_symmetry_Int_Tables_number 36
loop_
_symmetry_equiv_pos_as_xyz
'x,y,z'
'-x,-y,z+1/2'
'-x,y,z'
'x,-y,z+1/2'
'x+1/2,y+1/2,z'
'-x+1/2,-y+1/2,z+1/2'
'-x+1/2,y+1/2,z'
'x+1/2,-y+1/2,z+1/2'
loop_
_atom_site_label
_atom_site_fract_x
_atom_site_fract_y
_atom_site_fract_z
Pu1 0.0000 0.0222 0.0000
Pu2 0.0000 0.3270 0.0100
Si1 0.0000 0.1220 0.2188
Si2 0.0000 0.2736 0.5541
Si3 0.0000 0.4501 0.2072
Pd1 0.0000 0.0958 0.6054
Pd2 0.0000 0.2002 0.8339
Pd3 0.0000 0.2229 0.2484
Pd4 0.0000 0.3731 0.4844
Pd5 0.0000 0.4427 0.8247
```

As for the total moment: 0.2 Bohr magnetons per cell. The calculation puts the raw formation energy at -0.62 eV/atom. The raw total energy is -308.20 eV/cell. The calculation puts the volume at 691 Å³/cell.

=====

Record 6
# Sr3TbDy2Te6

A relaxed structure of Sr3TbDy2Te6 (PBE, the Alexandria database).

```
data_Sr3TbDy2Te6
_chemical_formula_sum 'Sr6 Tb2 Dy4 Te12'
_cell_length_a 7.7799
_cell_length_b 13.4572
_cell_length_c 7.9743
_cell_angle_alpha 90.00
_cell_angle_beta 108.98
_cell_angle_gamma 90.00
_symmetry_space_group_name_H-M 'C 1 2/m 1'
_symmetry_Int_Tables_number 12
loop_
_symmetry_equiv_pos_as_xyz
'x,y,z'
'-x,-y,-z'
'-x,y,-z'
'x,-y,z'
'x+1/2,y+1/2,z'
'-x+1/2,-y+1/2,-z'
'-x+1/2,y+1/2,-z'
'x+1/2,-y+1/2,z'
loop_
_atom_site_label
_atom_site_fract_x
_atom_site_fract_y
_atom_site_fract_z
Sr1 0.0000 0.0000 0.0000
Sr2 0.0000 0.3337 0.0000
Tb1 0.0000 0.5000 0.5000
Dy1 0.0000 0.1667 0.5000
Te1 0.2426 0.0000 0.7311
Te2 0.2442 0.3328 0.7313
```

As for the total moment: 0.0 Bohr magnetons per cell. The calculation puts the raw formation energy at -1.49 eV/atom. The raw total energy is -111.32 eV/cell. The calculation puts the volume at 789 Å³/cell.

=====

Record 7
# Tl2Hg

A relaxed structure of Tl2Hg (PBE, the Alexandria database).

```
data_Tl2Hg
_chemical_formula_sum 'Tl6 Hg3'
_cell_length_a 8.9737
_cell_length_b 8.9737
_cell_length_c 3.8525
_cell_angle_alpha 90.00
_cell_angle_beta 90.00
_cell_angle_gamma 120.00
_symmetry_space_group_name_H-M 'P -6 2 m'
_symmetry_Int_Tables_number 189
_symmetry_space_group_name_Hall 'P -6 -2'
loop_
_atom_site_label
_atom_site_fract_x
_atom_site_fract_y
_atom_site_fract_z
Tl1 0.0000 0.2857 0.0000
Tl2 0.0000 0.6191 0.5000
Hg1 0.0000 0.0000 0.5000
Hg2 0.3333 0.6667 0.0000
```

As for the total moment: 0.0 Bohr magnetons per cell. The formation energy from the elements is -0.01 eV/f.u. The raw total energy is -15.15 eV/cell. The calculation puts the volume at 269 Å³/cell.

=====

Record 8
# Li2SnCl2

A relaxed structure of Li2SnCl2 (PBE, the Alexandria database).

```
data_Li2SnCl2
_chemical_formula_sum 'Li4 Sn2 Cl4'
_cell_length_a 8.2169
_cell_length_b 8.2169
_cell_length_c 3.2698
_cell_angle_alpha 90.00
_cell_angle_beta 90.00
_cell_angle_gamma 90.00
_symmetry_space_group_name_H-M 'P 4/m b m'
_symmetry_Int_Tables_number 127
_symmetry_space_group_name_Hall '-P 4 2ab'
loop_
_atom_site_label
_atom_site_fract_x
_atom_site_fract_y
_atom_site_fract_z
Li1 0.1179 0.3821 0.0000
Sn1 0.0000 0.0000 0.5000
Cl1 0.1361 0.6361 0.5000
```

As for the total moment: 0.0 Bohr magnetons per cell. The calculation puts the raw formation energy at -0.88 eV/atom. The raw total energy is -31.88 eV/cell. The calculation puts the volume at 221 Å³/cell.

=====

Record 9
# Mg2TcAg

A relaxed structure of Mg2TcAg (PBE, the Alexandria database).

```
data_Mg2TcAg
_chemical_formula_sum 'Mg6 Tc3 Ag3'
_cell_length_a 2.9184
_cell_length_b 2.9184
_cell_length_c 28.0059
_cell_angle_alpha 90.00
_cell_angle_beta 90.00
_cell_angle_gamma 120.00
_symmetry_space_group_name_H-M 'R -3 m'
_symmetry_Int_Tables_number 166
_symmetry_space_group_name_Hall '-R 3 2"'
loop_
_atom_site_label
_atom_site_fract_x
_atom_site_fract_y
_atom_site_fract_z
Mg1 0.0000 0.0000 0.2482
Tc1 0.0000 0.0000 0.5000
Ag1 0.0000 0.0000 0.0000
```

As for the total moment: 0.0 Bohr magnetons per cell. The formation energy from the elements is 0.49 eV/f.u. The raw total energy is -47.75 eV/cell. The calculation puts the volume at 207 Å³/cell.

=====

Record 10
# SmPuZnO6

A relaxed structure of SmPuZnO6 (PBE, the Alexandria database).

```
data_SmPuZnO6
_chemical_formula_sum 'Sm1 Pu1 Zn1 O6'
_cell_length_a 5.7067
_cell_length_b 5.7067
_cell_length_c 4.4971
_cell_angle_alpha 90.00
_cell_angle_beta 90.00
_cell_angle_gamma 120.00
_symmetry_space_group_name_H-M 'P 3 1 2'
_symmetry_Int_Tables_number 149
loop_
_symmetry_equiv_pos_as_xyz
'x,y,z'
'-y,x-y,z'
'-x+y,-x,z'
'-y,-x,-z'
'-x+y,y,-z'
'x,x-y,-z'
loop_
_atom_site_label
_atom_site_fract_x
_atom_site_fract_y
_atom_site_fract_z
Sm1 0.0000 0.0000 0.0000
Pu1 0.3333 0.6667 0.0000
Zn1 0.6667 0.3333 0.5000
O1 0.0258 0.3717 0.2394
```

As for the total moment: 1.0 Bohr magnetons per cell. The calculation puts the raw formation energy at -2.22 eV/atom. The raw total energy is -70.08 eV/cell. The calculation puts the volume at 127 Å³/cell.

=====

Record 11
# TmZr2Sn

A relaxed structure of TmZr2Sn (PBE, the Alexandria database).

```
data_TmZr2Sn
_chemical_formula_sum 'Tm2 Zr4 Sn2'
_cell_length_a 4.3687
_cell_length_b 4.3694
_cell_length_c 10.7930
_cell_angle_alpha 90.00
_cell_angle_beta 101.67
_cell_angle_gamma 90.00
_symmetry_space_group_name_H-M 'P 1 21/m 1'
_symmetry_Int_Tables_number 11
loop_
_symmetry_equiv_pos_as_xyz
'x,y,z'
'-x,-y,-z'
'-x,y+1/2,-z'
'x,-y+1/2,z'
loop_
_atom_site_label
_atom_site_fract_x
_atom_site_fract_y
_atom_site_fract_z
Tm1 0.1903 0.2500 0.3798
Zr1 0.0556 0.7500 0.1109
Zr2 0.4462 0.7500 0.8924
Sn1 0.3373 0.2500 0.6751
```

As for the total moment: 0.0 Bohr magnetons per cell. The formation energy from the elements is -1.80 eV/f.u. The raw total energy is -54.75 eV/cell. The calculation puts the volume at 202 Å³/cell.

=====

Record 12
# CdSiPt2

A relaxed structure of CdSiPt2 (PBE, the Alexandria database).

```
data_CdSiPt2
_chemical_formula_sum 'Cd1 Si1 Pt2'
_cell_length_a 3.1166
_cell_length_b 4.4528
_cell_length_c 5.0851
_cell_angle_alpha 90.00
_cell_angle_beta 107.57
_cell_angle_gamma 90.00
_symmetry_space_group_name_H-M 'P 1 m 1'
_symmetry_Int_Tables_number 6
loop_
_symmetry_equiv_pos_as_xyz
'x,y,z'
'x,-y,z'
loop_
_atom_site_label
_atom_site_fract_x
_atom_site_fract_y
_atom_site_fract_z
Cd1 0.0000 0.0000 0.0000
Si1 0.3565 0.5000 0.7077
Pt1 0.2728 0.0000 0.5382
Pt2 0.6363 0.5000 0.2650
```

As for the total moment: 0.0 Bohr magnetons per cell. The calculation puts the raw formation energy at -0.28 eV/atom. The raw total energy is -19.54 eV/cell. The calculation puts the volume at 67 Å³/cell.